## Zn17Cu12 (meta-GGA SCAN)

Data for a PBEsol-optimized structure of Zn17Cu12.

Output
The calculated total energy is -14.2333 eV/atom. The total magnetization comes out at 0.00 μB/f.u. Its symmetry is I-43m, No. 217. The crystal system is cubic. The value obtained for the formation energy from the elements is -0.0212 eV/atom.

Lattice parameters (Å, degrees): 7.8410 7.8410 7.8410 109.47 109.47 109.47
Atoms (fractional coordinates):
1 Zn 0.0000 0.0000 0.0000
2 Zn 0.0000 0.0000 0.3386
3 Zn 0.0000 0.3099 0.5867
4 Zn 0.0000 0.3386 0.0000
5 Zn 0.0000 0.5867 0.3099
6 Zn 0.2768 0.6901 0.6901
7 Zn 0.3099 0.0000 0.5867
8 Zn 0.3099 0.5867 0.0000
9 Zn 0.3386 0.0000 0.0000
10 Zn 0.4133 0.4133 0.7232
11 Zn 0.4133 0.7232 0.4133
12 Zn 0.5867 0.0000 0.3099
13 Zn 0.5867 0.3099 0.0000
14 Zn 0.6614 0.6614 0.6614
15 Zn 0.6901 0.2768 0.6901
16 Zn 0.6901 0.6901 0.2768
17 Zn 0.7232 0.4133 0.4133
18 Cu 0.0000 0.6236 0.8104
19 Cu 0.0000 0.8104 0.6236
20 Cu 0.1868 0.3764 0.3764
21 Cu 0.1896 0.1896 0.8132
22 Cu 0.1896 0.8132 0.1896
23 Cu 0.3764 0.1868 0.3764
24 Cu 0.3764 0.3764 0.1868
25 Cu 0.6236 0.0000 0.8104
26 Cu 0.6236 0.8104 0.0000
27 Cu 0.8104 0.0000 0.6236
28 Cu 0.8104 0.6236 0.0000
29 Cu 0.8132 0.1896 0.1896